(1)
Compound: NdInPbAu
Source: Alexandria
Functional: PBE
Structure: optimized geometry

Summary:
Energy relative to the elements ... -1.402 eV per formula unit
Spin magnetization ... 0.00 μB per formula unit

Cell: 5.306 5.306 5.306 Å, 60.00 60.00 60.00°
Fractional positions:
Pb 0.250 0.250 0.250
Nd 0.750 0.750 0.750
Au 0.500 0.500 0.500
In 0.000 0.000 0.000

(2)
Compound: La2TaNi
Source: Alexandria
Functional: PBE
Structure: optimized geometry

Summary:
Energy relative to the elements ... 1.034 eV per formula unit
Spin magnetization ... 0.00 μB per formula unit

Cell: 3.368 3.367 9.051 Å, 68.25 90.00 90.00°
Fractional positions:
La 0.000 0.972 0.029
La 0.000 0.528 0.471
Ni 0.500 0.250 0.250
Ta 0.500 0.750 0.750

(3)
Compound: HfAsPdSe2
Source: Alexandria
Functional: PBE
Structure: optimized geometry

Summary:
Formation energy (no corrections) ... 0.132 eV per atom
Spin magnetization ... 0.00 μB per formula unit

Cell: 5.092 5.092 5.191 Å, 90.00 90.00 90.00°
Fractional positions:
As 0.000 0.000 0.500
Hf 0.000 0.000 0.000
Se 0.000 0.500 0.000
Se 0.500 0.000 0.000
Pd 0.500 0.500 0.500

(4)
Compound: Pr4Sm7Tm
Source: Alexandria
Functional: PBE
Structure: optimized geometry

Summary:
Energy relative to the elements ... 1.025 eV per formula unit
Spin magnetization ... 0.00 μB per formula unit

Cell: 6.970 6.616 11.968 Å, 76.06 50.63 83.01°
Fractional positions:
Pr 0.525 0.645 0.281
Pr 0.475 0.355 0.719
Pr 0.699 0.839 0.691
Pr 0.301 0.161 0.309
Sm 0.804 0.510 0.949
Sm 0.196 0.490 0.051
Sm 0.057 0.315 0.641
Sm 0.943 0.685 0.359
Sm 0.281 0.808 0.617
Sm 0.500 0.000 0.000
Sm 0.719 0.192 0.383
Tm 0.000 0.000 0.000

(5)
Compound: Ca2Pm5Nd6
Source: Alexandria
Functional: PBE
Structure: optimized geometry

Summary:
Energy relative to the elements ... 1.580 eV per formula unit
Spin magnetization ... 0.00 μB per formula unit

Cell: 3.636 12.262 20.962 Å, 90.00 90.00 90.00°
Fractional positions:
Ca 0.000 0.335 0.285
Ca 0.000 0.665 0.715
Ca 0.000 0.835 0.215
Ca 0.000 0.165 0.785
Pm 0.500 0.291 0.449
Pm 0.500 0.709 0.551
Pm 0.500 0.791 0.051
Pm 0.500 0.209 0.949
Pm 0.500 0.595 0.281
Pm 0.500 0.405 0.719
Pm 0.500 0.095 0.219
Pm 0.500 0.905 0.781
Pm 0.500 0.500 0.000
Pm 0.500 0.000 0.500
Nd 0.000 0.070 0.362
Nd 0.000 0.930 0.638
Nd 0.000 0.570 0.138
Nd 0.000 0.430 0.862
Nd 0.500 0.313 0.121
Nd 0.500 0.687 0.879
Nd 0.500 0.813 0.379
Nd 0.500 0.187 0.621
Nd 0.000 0.551 0.423
Nd 0.000 0.449 0.577
Nd 0.000 0.051 0.077
Nd 0.000 0.949 0.923

(6)
Compound: PrZrInHg
Source: Alexandria
Functional: PBE
Structure: optimized geometry

Summary:
Energy relative to the elements ... -0.995 eV per formula unit
Spin magnetization ... 0.00 μB per formula unit

Cell: 5.253 5.253 5.253 Å, 60.00 60.00 60.00°
Fractional positions:
Pr 0.250 0.250 0.250
Hg 0.000 0.000 0.000
Zr 0.750 0.750 0.750
In 0.500 0.500 0.500